Compound: LiAl2Cu8
Source: the Alexandria database
Functional: GGA-PBE
Structure: optimized geometry

```
11
Lattice="3.857 0.000 -1.174 -0.868 5.021 -2.852 0.001 0.540 6.928" Properties=species:S:1:pos:R:3 pbc="T T T"
Li 1.928 0.000 -0.587
Al 0.144 3.690 0.475
Al 2.846 1.871 2.428
Cu 1.734 4.501 -1.227
Cu 0.873 3.282 2.867
Cu 0.489 0.997 1.606
Cu -0.246 1.424 -0.809
Cu 2.502 4.564 1.296
Cu 2.118 2.279 0.035
Cu 1.257 1.060 4.129
Cu 3.237 4.136 3.711
```

Computed properties:
- space-group type = Immm, No. 71
- DFT total energy (eV/cell) = -42.9
- excess energy over the best structure of this formula in the dataset (eV per formula unit) = 0.00